Li6V5O12 | GGA+U | optimized geometry

Output
Calculated total energy = -6.7857 eV per atom
Calculated volume = 218.8 Å³/f.u.

Cell lengths 5.055, 5.063, 9.530 Å; angles 93.10, 93.48, 115.57 degrees
Space group P1 (No. 1)
One atom of each set of equivalent atoms:
Li 0.000 0.000 0.000 x1
Li 0.052 0.385 0.237 x1
Li 0.260 0.236 0.758 x1
Li 0.560 0.905 0.741 x1
Li 0.650 0.289 0.988 x1
Li 0.774 0.734 0.244 x1
V 0.352 0.658 0.995 x1
V 0.423 0.082 0.242 x1
V 0.506 0.515 0.501 x1
V 0.861 0.158 0.499 x1
V 0.932 0.592 0.753 x1
O 0.006 0.343 0.890 x1
O 0.115 0.733 0.138 x1
O 0.149 0.159 0.381 x1
O 0.196 0.494 0.620 x1
O 0.278 0.920 0.872 x1
O 0.385 0.353 0.131 x1
O 0.524 0.842 0.384 x1
O 0.614 0.253 0.629 x1
O 0.625 0.624 0.887 x1
O 0.679 0.007 0.121 x1
O 0.753 0.406 0.369 x1
O 0.853 0.860 0.623 x1